1) Here is LiTaAs2Br after structural relaxation from the Alexandria database. Energies are from PBE.

The structure in CIF format:
```
data_LiTaAs2Br
_chemical_formula_sum 'Li1 Ta1 As2 Br1'
_cell_length_a 4.512
_cell_length_b 4.512
_cell_length_c 4.769
_cell_angle_alpha 90.00
_cell_angle_beta 90.00
_cell_angle_gamma 90.00
_space_group_name_H-M_alt 'P 4/m m m'
_space_group_IT_number 123
_space_group_name_Hall '-P 4 2'
loop_
_atom_site_label
_atom_site_type_symbol
_atom_site_fract_x
_atom_site_fract_y
_atom_site_fract_z
Li1 Li 0.000 0.000 0.000
Ta1 Ta 0.500 0.500 0.500
As1 As 0.000 0.500 0.000
Br1 Br 0.000 0.000 0.500
```

Results
density	7.142	g/cm3

---

2) Here is LiTaAs2Br after structural relaxation from the Alexandria database. Energies are from PBE.

The structure in CIF format:
```
data_LiTaAs2Br
_chemical_formula_sum 'Li1 Ta1 As2 Br1'
_cell_length_a 4.978
_cell_length_b 4.978
_cell_length_c 5.449
_cell_angle_alpha 90.00
_cell_angle_beta 90.00
_cell_angle_gamma 90.00
_space_group_name_H-M_alt 'P 4/m m m'
_space_group_IT_number 123
_space_group_name_Hall '-P 4 2'
loop_
_atom_site_label
_atom_site_type_symbol
_atom_site_fract_x
_atom_site_fract_y
_atom_site_fract_z
Li1 Li 0.000 0.000 0.000
Ta1 Ta 0.500 0.500 0.500
As1 As 0.000 0.500 0.500
Br1 Br 0.500 0.500 0.000
```

Results
density	5.137	g/cm3

---

Stability summary: most stable 2), least stable 1).